Entry one
CuMoRh2: optimized geometry, PBEsol.

Calculated values
symmetry = Pmmm
spin magnetization = 0.000 Bohr magnetons per cell

abc: 2.726 3.630 5.426
angles: 90.00 90.00 90.00
Fractional coordinates of all 4 atoms:
Cu (0.000, 0.000, 0.000)
Mo (0.000, 0.000, 0.500)
Rh (0.500, 0.500, 0.244)
Rh (0.500, 0.500, 0.756)

***

Entry two
CuMoRh2: optimized geometry, PBEsol.

Calculated values
symmetry = P4/mmm
spin magnetization = 0.001 Bohr magnetons per cell

abc: 2.749 2.749 7.121
angles: 90.00 90.00 90.00
Fractional coordinates of all 4 atoms:
Cu (0.000, 0.000, 0.000)
Mo (0.000, 0.000, 0.500)
Rh (0.500, 0.500, 0.245)
Rh (0.500, 0.500, 0.755)

***

Which structure is the most stable? The one labeled entry one.

***

Entry one
RhSe2Br: optimized geometry, PBEsol.

Calculated values
symmetry = Cmmm
spin magnetization = 0.000 Bohr magnetons per cell

abc: 5.202 5.202 3.104
angles: 90.00 90.00 118.99
Fractional coordinates of all 4 atoms:
Rh (0.000, 0.000, 0.000)
Se (0.000, 0.500, 0.500)
Se (0.500, 0.000, 0.500)
Br (0.500, 0.500, 0.000)

***

Entry two
RhSe2Br: optimized geometry, PBEsol.

Calculated values
symmetry = C2/m
spin magnetization = 0.000 Bohr magnetons per cell

abc: 3.792 3.792 7.734
angles: 103.06 103.06 59.78
Fractional coordinates of all 4 atoms:
Rh (0.000, 0.000, 0.000)
Se (0.381, 0.381, 0.155)
Se (0.619, 0.619, 0.845)
Br (0.500, 0.500, 0.500)

***

Which structure is the most stable? The one labeled entry two.